Below is crystalline CsSn3Br at its relaxed geometry, with properties calculated at the GGA-PBE level.

a = 5.859 Å, b = 5.859 Å, c = 5.859 Å
α = 90.00°, β = 90.00°, γ = 90.00°
Fractional coordinates of all 5 atoms:
Sn  0.000  0.000  0.500
Sn  0.500  0.000  0.000
Sn  0.000  0.500  0.000
Cs  0.500  0.500  0.500
Br  0.000  0.000  0.000

Summary:
The energy above the most stable polymorph in this dataset comes out at 0 meV per atom. The calculated total energy is -12.97 eV for the cell shown. The formation energy from raw total energies comes out at 0.313 eV/atom. The calculation puts the magnetic moment at 0.00 μB per formula unit.

Below is crystalline CsSn4Br8 at its relaxed geometry, with properties calculated at the GGA-PBE level.

a = 9.398 Å, b = 9.398 Å, c = 9.398 Å
α = 60.00°, β = 60.00°, γ = 60.00°
Fractional coordinates of all 13 atoms:
Br  0.193  0.602  0.602
Br  0.602  0.602  0.602
Br  0.574  0.142  0.142
Br  0.602  0.602  0.193
Br  0.142  0.142  0.574
Br  0.142  0.142  0.142
Br  0.602  0.193  0.602
Br  0.142  0.574  0.142
Sn  0.371  0.886  0.371
Sn  0.371  0.371  0.371
Sn  0.886  0.371  0.371
Sn  0.371  0.371  0.886
Cs  0.750  0.750  0.750

Summary:
The energy above the most stable polymorph in this dataset comes out at 29 meV per atom. The calculated total energy is -40.42 eV for the cell shown. The formation energy from raw total energies comes out at -0.782 eV/atom. The calculation puts the magnetic moment at 0.00 μB per formula unit.

Below is crystalline Cs3Sn2Br7 at its relaxed geometry, with properties calculated at the GGA-PBE level.

a = 5.894 Å, b = 5.894 Å, c = 15.533 Å
α = 100.94°, β = 100.94°, γ = 90.00°
Fractional coordinates of all 12 atoms:
Cs  0.681  0.681  0.362
Cs  0.319  0.319  0.638
Cs  0.500  0.500  0.000
Br  0.802  0.802  0.604
Br  0.198  0.198  0.396
Br  0.098  0.598  0.196
Br  0.902  0.402  0.804
Br  0.000  0.000  0.000
Br  0.598  0.098  0.196
Br  0.402  0.902  0.804
Sn  0.899  0.899  0.799
Sn  0.101  0.101  0.201

Summary:
The energy above the most stable polymorph in this dataset comes out at 0 meV per atom. The calculated total energy is -38.11 eV for the cell shown. The formation energy from raw total energies comes out at -1.319 eV/atom. The calculation puts the magnetic moment at 0.00 μB per formula unit.

Below is crystalline Cs4SnBr5 at its relaxed geometry, with properties calculated at the GGA-PBE level.

a = 7.469 Å, b = 8.763 Å, c = 8.763 Å
α = 79.54°, β = 64.77°, γ = 64.77°
Last column: magnetic moment on the atom in μB.
Fractional coordinates of all 10 atoms:
Cs  0.596  0.613  0.201  0.00
Cs  0.797  0.799  0.613  0.00
Cs  0.410  0.387  0.799  0.00
Cs  0.209  0.201  0.387  0.00
Br  0.272  0.818  0.643  0.00
Br  0.732  0.182  0.357  0.00
Br  0.914  0.357  0.818  0.00
Br  0.494  0.000  0.000  0.02
Br  0.089  0.643  0.182  0.00
Sn  0.999  0.000  0.000  0.09

Summary:
The calculated total energy is -29.67 eV for the cell shown. The formation energy from raw total energies comes out at -1.388 eV/atom. The calculation puts the magnetic moment at 0.23 μB per formula unit.